# 1
# Tb2ThPa | Alexandria via LeMat-Bulk | PBE | relaxed
# Crystal system   trigonal
# E_tot   -6.24 eV/atom
data_Tb2ThPa
_cell_length_a 3.3777
_cell_length_b 3.3777
_cell_length_c 36.5576
_cell_angle_alpha 90.00
_cell_angle_beta 90.00
_cell_angle_gamma 120.00
_symmetry_space_group_name_H-M 'R -3 m'
_symmetry_Int_Tables_number 166
_symmetry_space_group_name_Hall '-R 3 2"'
loop_
_atom_site_label
_atom_site_fract_x
_atom_site_fract_y
_atom_site_fract_z
_atom_site_occupancy
Tb1 0.0000 0.0000 0.0882 1
Th1 0.0000 0.0000 0.5000 1
Pa1 0.0000 0.0000 0.0000 1

***

# 2
# NdAl2 | Alexandria via LeMat-Bulk | PBE | relaxed
# Crystal system   tetragonal
# E_tot   -4.33 eV/atom
data_NdAl2
_cell_length_a 3.425
_cell_length_b 3.425
_cell_length_c 11.566
_cell_angle_alpha 90.00
_cell_angle_beta 90.00
_cell_angle_gamma 90.00
_symmetry_space_group_name_H-M 'I 4/m m m'
_symmetry_Int_Tables_number 139
_symmetry_space_group_name_Hall '-I 4 2'
loop_
_atom_site_label
_atom_site_fract_x
_atom_site_fract_y
_atom_site_fract_z
_atom_site_occupancy
Nd1 0.000 0.000 0.000 1
Al1 0.000 0.000 0.309 1

***

# 3
# Ce8HOs3I4 | Alexandria via LeMat-Bulk | PBE | relaxed
# Crystal system   trigonal
# E_tot   -6.25 eV/atom
data_Ce8HOs3I4
_cell_length_a 8.1361
_cell_length_b 8.1361
_cell_length_c 23.9243
_cell_angle_alpha 90.00
_cell_angle_beta 90.00
_cell_angle_gamma 120.00
_symmetry_space_group_name_H-M 'R -3 m'
_symmetry_Int_Tables_number 166
_symmetry_space_group_name_Hall '-R 3 2"'
loop_
_atom_site_label
_atom_site_fract_x
_atom_site_fract_y
_atom_site_fract_z
_atom_site_occupancy
Ce1 0.0000 0.0000 0.2281 1
Ce2 0.0025 0.5012 0.2289 1
H1 0.0000 0.0000 0.5000 1
Os1 0.0000 0.5000 0.5000 1
I1 0.0000 0.0000 0.0000 1
I2 0.0000 0.5000 0.0000 1

***

# 4
# CePrHoZr | Alexandria via LeMat-Bulk | PBE | relaxed
# Crystal system   cubic
# E_tot   -5.69 eV/atom
data_CePrHoZr
_cell_length_a 7.830
_cell_length_b 7.830
_cell_length_c 7.830
_cell_angle_alpha 90.00
_cell_angle_beta 90.00
_cell_angle_gamma 90.00
_symmetry_space_group_name_H-M 'F -4 3 m'
_symmetry_Int_Tables_number 216
_symmetry_space_group_name_Hall 'F -4 2 3'
loop_
_atom_site_label
_atom_site_fract_x
_atom_site_fract_y
_atom_site_fract_z
_atom_site_occupancy
Ce1 0.000 0.000 0.000 1
Pr1 0.250 0.250 0.750 1
Ho1 0.000 0.000 0.500 1
Zr1 0.250 0.250 0.250 1

***

# 5
# HoTm6In5 | Alexandria via LeMat-Bulk | PBE | relaxed
# Crystal system   orthorhombic
# E_tot   -4.12 eV/atom
data_HoTm6In5
_cell_length_a 4.906
_cell_length_b 8.751
_cell_length_c 14.830
_cell_angle_alpha 90.00
_cell_angle_beta 90.00
_cell_angle_gamma 90.00
_symmetry_space_group_name_H-M 'I m m m'
_symmetry_Int_Tables_number 71
_symmetry_space_group_name_Hall '-I 2 2'
loop_
_atom_site_label
_atom_site_fract_x
_atom_site_fract_y
_atom_site_fract_z
_atom_site_occupancy
Ho1 0.000 0.000 0.000 1
Tm1 0.000 0.227 0.500 1
Tm2 0.000 0.263 0.169 1
In1 0.000 0.000 0.322 1
In2 0.000 0.500 0.000 1
In3 0.000 0.500 0.349 1

***

# 6
# CaZr2Tl | Alexandria via LeMat-Bulk | PBE | relaxed
# Crystal system   trigonal
# E_tot   -5.14 eV/atom
data_CaZr2Tl
_cell_length_a 3.2824
_cell_length_b 3.2824
_cell_length_c 33.4978
_cell_angle_alpha 90.00
_cell_angle_beta 90.00
_cell_angle_gamma 120.00
_symmetry_space_group_name_H-M 'R -3 m'
_symmetry_Int_Tables_number 166
_symmetry_space_group_name_Hall '-R 3 2"'
loop_
_atom_site_label
_atom_site_fract_x
_atom_site_fract_y
_atom_site_fract_z
_atom_site_occupancy
Ca1 0.0000 0.0000 0.0000 1
Zr1 0.0000 0.0000 0.2441 1
Tl1 0.0000 0.0000 0.5000 1

***

# 7
# Tc3PdW | Alexandria via LeMat-Bulk | PBE | relaxed
# Crystal system   cubic
# E_tot   -7.45 eV/atom
data_Tc3PdW
_cell_length_a 4.587
_cell_length_b 4.587
_cell_length_c 4.587
_cell_angle_alpha 90.00
_cell_angle_beta 90.00
_cell_angle_gamma 90.00
_symmetry_space_group_name_H-M 'P m -3 m'
_symmetry_Int_Tables_number 221
_symmetry_space_group_name_Hall '-P 4 2 3'
loop_
_atom_site_label
_atom_site_fract_x
_atom_site_fract_y
_atom_site_fract_z
_atom_site_occupancy
Tc1 0.000 0.000 0.500 1
Pd1 0.000 0.000 0.000 1
W1 0.500 0.500 0.500 1

***

# 8
# BaSr2YCu | Alexandria via LeMat-Bulk | PBE | relaxed
# Crystal system   tetragonal
# E_tot   -3.09 eV/atom
data_BaSr2YCu
_cell_length_a 6.197
_cell_length_b 6.197
_cell_length_c 5.539
_cell_angle_alpha 90.00
_cell_angle_beta 90.00
_cell_angle_gamma 90.00
_symmetry_space_group_name_H-M 'P 4/m m m'
_symmetry_Int_Tables_number 123
_symmetry_space_group_name_Hall '-P 4 2'
loop_
_atom_site_label
_atom_site_fract_x
_atom_site_fract_y
_atom_site_fract_z
_atom_site_occupancy
Ba1 0.000 0.000 0.000 1
Sr1 0.000 0.500 0.500 1
Y1 0.500 0.500 0.000 1
Cu1 0.500 0.500 0.500 1

***

# 9
# LiCe2Mg | Alexandria via LeMat-Bulk | PBE | relaxed
# Crystal system   tetragonal
# E_tot   -3.70 eV/atom
data_LiCe2Mg
_cell_length_a 4.116
_cell_length_b 4.116
_cell_length_c 5.572
_cell_angle_alpha 90.00
_cell_angle_beta 90.00
_cell_angle_gamma 90.00
_symmetry_space_group_name_H-M 'P 4/m m m'
_symmetry_Int_Tables_number 123
_symmetry_space_group_name_Hall '-P 4 2'
loop_
_atom_site_label
_atom_site_fract_x
_atom_site_fract_y
_atom_site_fract_z
_atom_site_occupancy
Li1 0.000 0.000 0.000 1
Ce1 0.000 0.500 0.500 1
Mg1 0.500 0.500 0.000 1

***

# 10
# SnTeSe2Cl | Alexandria via LeMat-Bulk | PBE | relaxed
# Formation energy from raw total energies   546 meV/atom
# Crystal system   tetragonal
data_SnTeSe2Cl
_cell_length_a 5.236
_cell_length_b 5.236
_cell_length_c 5.147
_cell_angle_alpha 90.00
_cell_angle_beta 90.00
_cell_angle_gamma 90.00
_symmetry_space_group_name_H-M 'P 4/m m m'
_symmetry_Int_Tables_number 123
_symmetry_space_group_name_Hall '-P 4 2'
loop_
_atom_site_label
_atom_site_fract_x
_atom_site_fract_y
_atom_site_fract_z
_atom_site_occupancy
Sn1 0.000 0.000 0.000 1
Te1 0.500 0.500 0.000 1
Se1 0.000 0.500 0.500 1
Cl1 0.500 0.500 0.500 1

***

# 11
# MgSnSb | Alexandria via LeMat-Bulk | PBE | relaxed
# Formation energy from raw total energies   -45 meV/atom
# Crystal system   trigonal
data_MgSnSb
_cell_length_a 4.3435
_cell_length_b 4.3435
_cell_length_c 5.2166
_cell_angle_alpha 90.00
_cell_angle_beta 90.00
_cell_angle_gamma 120.00
_symmetry_space_group_name_H-M 'P 3 m 1'
_symmetry_Int_Tables_number 156
loop_
_symmetry_equiv_pos_as_xyz
'x,y,z'
'-y,x-y,z'
'-x+y,-x,z'
'-y,-x,z'
'-x+y,y,z'
'x,x-y,z'
loop_
_atom_site_label
_atom_site_fract_x
_atom_site_fract_y
_atom_site_fract_z
_atom_site_occupancy
Mg1 0.0000 0.0000 0.0000 1
Sn1 0.3333 0.6667 0.6325 1
Sb1 0.6667 0.3333 0.3135 1

***

# 12
# Ce2Ir7 | Alexandria via LeMat-Bulk | PBE | relaxed
# Crystal system   trigonal
# E_tot   -8.74 eV/atom
data_Ce2Ir7
_cell_length_a 5.3203
_cell_length_b 5.3203
_cell_length_c 39.6352
_cell_angle_alpha 90.00
_cell_angle_beta 90.00
_cell_angle_gamma 120.00
_symmetry_space_group_name_H-M 'R -3 m'
_symmetry_Int_Tables_number 166
_symmetry_space_group_name_Hall '-R 3 2"'
loop_
_atom_site_label
_atom_site_fract_x
_atom_site_fract_y
_atom_site_fract_z
_atom_site_occupancy
Ce1 0.0000 0.0000 0.0499 1
Ce2 0.0000 0.0000 0.1470 1
Ir1 0.0000 0.0000 0.2779 1
Ir2 0.0000 0.0000 0.3890 1
Ir3 0.0000 0.0000 0.5000 1
Ir4 0.0000 0.5000 0.0000 1
Ir5 0.0021 0.5011 0.8897 1

***

Calculated values (states/eV per cell) of N(E_F) for the records, taken in order: 16.17 3.75 123.60 40.50 22.92 19.97 9.85 6.23 9.34 3.92 1.35 64.35.